A relaxed structure of PmNd6DyHo2. Source: Alexandria via LeMat-Bulk, functional GGA-PBE.

Results
- total magnetization (μB per cell) = 0.0
- crystal system = monoclinic
- symmetry = C2/c
- E_tot (eV/atom) = -4.597
- formation energy from the elements (eV per atom) = 0.115

abc: 8.960 8.960 9.690
angles: 93.77 93.77 117.36
Sites, in units of the cell vectors:
1 Pm 0.029 0.971 0.750
2 Pm 0.971 0.029 0.250
3 Nd 0.009 0.563 0.686
4 Nd 0.115 0.759 0.055
5 Nd 0.241 0.885 0.445
6 Nd 0.294 0.513 0.882
7 Nd 0.437 0.991 0.814
8 Nd 0.487 0.706 0.618
9 Nd 0.513 0.294 0.382
10 Nd 0.563 0.009 0.186
11 Nd 0.706 0.487 0.118
12 Nd 0.759 0.115 0.555
13 Nd 0.885 0.241 0.945
14 Nd 0.991 0.437 0.314
15 Dy 0.410 0.590 0.250
16 Dy 0.590 0.410 0.750
17 Ho 0.201 0.299 0.547
18 Ho 0.299 0.201 0.047
19 Ho 0.701 0.799 0.953
20 Ho 0.799 0.701 0.453